A plane-wave DFT calculation with PBE-GGA was carried out for crystalline BaCrRu2 at its relaxed geometry.

Calculated values
Excess energy over the best structure of this formula in the dataset ... 0.000 eV/atom
SG ... R-3m, No. 166

a b c (Å): 4.2609 4.2609 6.4623
angles (deg): 70.77 70.77 60.01
Fractional coordinates of all 4 atoms:
Ru 0.5597 0.5597 0.3210
Ru 0.9403 0.9403 0.1790
Ba 0.7500 0.7500 0.7500
Cr 0.2500 0.2500 0.2500

***

A plane-wave DFT calculation with PBE-GGA was carried out for crystalline Ba2CrRu2 at its relaxed geometry.

Calculated values
Excess energy over the best structure of this formula in the dataset ... 0.000 eV/atom
SG ... P4/mbm, No. 127

a b c (Å): 6.4159 6.4159 5.5816
angles (deg): 90.00 90.00 90.00
Fractional coordinates of all 10 atoms:
Ba 0.3176 0.1824 0.5000
Ba 0.6824 0.8176 0.5000
Ba 0.1824 0.6824 0.5000
Ba 0.8176 0.3176 0.5000
Ru 0.6382 0.1382 0.0000
Ru 0.8618 0.6382 0.0000
Ru 0.1382 0.3618 0.0000
Ru 0.3618 0.8618 0.0000
Cr 0.5000 0.5000 0.0000
Cr 0.0000 0.0000 0.0000

***

A plane-wave DFT calculation with PBE-GGA was carried out for crystalline BaCrRu at its relaxed geometry.

Calculated values
Excess energy over the best structure of this formula in the dataset ... 0.088 eV/atom
SG ... I4mm, No. 107

a b c (Å): 6.5607 6.5607 6.5607
angles (deg): 150.45 150.45 42.28
Fractional coordinates of all 3 atoms:
Cr 0.2790 0.2790 0.0000
Ru 0.7180 0.7180 0.0000
Ba 0.0029 0.0029 0.0000

***

A plane-wave DFT calculation with PBE-GGA was carried out for crystalline BaCrRu2 at its relaxed geometry.

Calculated values
Excess energy over the best structure of this formula in the dataset ... 0.310 eV/atom
SG ... P4mm, No. 99

a b c (Å): 3.2048 3.2048 7.9507
angles (deg): 90.00 90.00 90.00
Fractional coordinates of all 4 atoms:
Ru 0.5000 0.5000 0.1714
Ru 0.0000 0.0000 0.0037
Cr 0.5000 0.5000 0.8386
Ba 0.0000 0.0000 0.4864

***

A plane-wave DFT calculation with PBE-GGA was carried out for crystalline Ba2CrRu at its relaxed geometry.

Calculated values
Excess energy over the best structure of this formula in the dataset ... 0.694 eV/atom
SG ... R-3m, No. 166

a b c (Å): 10.2735 10.2735 10.2735
angles (deg): 21.83 21.83 21.83
Fractional coordinates of all 4 atoms:
Cr 0.2500 0.2500 0.2500
Ru 0.7500 0.7500 0.7500
Ba 0.4873 0.4873 0.4873
Ba 0.0127 0.0127 0.0127

***

A plane-wave DFT calculation with PBE-GGA was carried out for crystalline Ba4CrRu at its relaxed geometry.

Calculated values
Raw total energy ... -3.111 eV/atom
SG ... F-43m, No. 216

a b c (Å): 6.9552 6.9552 6.9552
angles (deg): 60.00 60.00 60.00
Fractional coordinates of all 6 atoms:
Ba 0.8767 0.3744 0.3744
Ba 0.3744 0.8767 0.3744
Ba 0.3744 0.3744 0.3744
Ba 0.3744 0.3744 0.8767
Ru 0.0000 0.0000 0.0000
Cr 0.7500 0.7500 0.7500

***

A plane-wave DFT calculation with PBE-GGA was carried out for crystalline BaCr3Ru at its relaxed geometry.

Calculated values
Excess energy over the best structure of this formula in the dataset ... 0.000 eV/atom
SG ... Pm-3m, No. 221

a b c (Å): 4.8901 4.8901 4.8901
angles (deg): 90.00 90.00 90.00
Fractional coordinates of all 5 atoms:
Ru 0.0000 0.0000 0.0000
Cr 0.5000 0.0000 0.0000
Cr 0.0000 0.0000 0.5000
Cr 0.0000 0.5000 0.0000
Ba 0.5000 0.5000 0.5000

***

A plane-wave DFT calculation with PBE-GGA was carried out for crystalline BaCrRu2 at its relaxed geometry.

Calculated values
Excess energy over the best structure of this formula in the dataset ... 0.757 eV/atom
SG ... C2/m, No. 12

a b c (Å): 5.4208 5.5406 3.0233
angles (deg): 77.07 84.25 117.51
Fractional coordinates of all 4 atoms:
Ru 0.0000 0.0000 0.0000
Ru 0.5000 0.0000 0.5000
Cr 0.5000 0.5000 0.0000
Ba 0.0000 0.5000 0.5000